Arrangement A

Material: CaGdS2
Method: DFT, PBE-GGA
State: optimized geometry

Lattice parameters (Å, degrees): 3.9846 3.9846 5.6538 90.00 90.00 90.00
Space group P4/mmm (No. 123)
Asymmetric unit:
Ca: 0.0000 0.0000 0.0000 (multiplicity 1)
Gd: 0.5000 0.5000 0.5000 (multiplicity 1)
S: 0.0000 0.0000 0.5000 (multiplicity 1)
S: 0.5000 0.5000 0.0000 (multiplicity 1)

Output
- Crystal system: tetragonal
- N(E_F): 2.5 states/eV per cell

=====

Arrangement B

Material: CaGdS2
Method: DFT, PBE-GGA
State: optimized geometry

Lattice parameters (Å, degrees): 3.9762 3.9762 19.7472 90.00 90.00 120.00
Space group R-3m (No. 166, hexagonal axes)
Asymmetric unit:
Ca: 0.0000 0.0000 0.0000 (multiplicity 3)
Gd: 0.0000 0.0000 0.5000 (multiplicity 3)
S: 0.0000 0.0000 0.2494 (multiplicity 6)

Output
- Crystal system: trigonal
- N(E_F): 7.9 states/eV per cell

=====

Which is most stable? The ranking, best first, is arrangement A, arrangement B.

=====

Arrangement A

Material: CaGdSc2
Method: DFT, PBE-GGA
State: optimized geometry

Lattice parameters (Å, degrees): 3.4939 3.4939 9.7976 90.00 90.00 90.00
Space group P4/mmm (No. 123)
Asymmetric unit:
Ca: 0.0000 0.0000 0.0000 (multiplicity 1)
Gd: 0.0000 0.0000 0.5000 (multiplicity 1)
Sc: 0.5000 0.5000 0.2702 (multiplicity 2)

Output
- Crystal system: tetragonal
- N(E_F): 7.4 states/eV per cell

=====

Arrangement B

Material: CaGdSc2
Method: DFT, PBE-GGA
State: optimized geometry

Lattice parameters (Å, degrees): 3.4643 3.4643 34.2092 90.00 90.00 120.00
Space group R-3m (No. 166, hexagonal axes)
Asymmetric unit:
Ca: 0.0000 0.0000 0.0000 (multiplicity 3)
Gd: 0.0000 0.0000 0.5000 (multiplicity 3)
Sc: 0.0000 0.0000 0.2456 (multiplicity 6)

Output
- Crystal system: trigonal
- N(E_F): 22.9 states/eV per cell

=====

Arrangement C

Material: CaGdSc2
Method: DFT, PBE-GGA
State: optimized geometry

Lattice parameters (Å, degrees): 5.5833 5.5833 3.7889 90.00 90.00 90.00
Space group P4/mmm (No. 123)
Asymmetric unit:
Ca: 0.0000 0.0000 0.0000 (multiplicity 1)
Gd: 0.5000 0.5000 0.0000 (multiplicity 1)
Sc: 0.0000 0.5000 0.5000 (multiplicity 2)

Output
- Crystal system: tetragonal
- N(E_F): 7.8 states/eV per cell

=====

Arrangement D

Material: CaGdSc2
Method: DFT, PBE-GGA
State: optimized geometry

Lattice parameters (Å, degrees): 7.7818 7.7818 7.7818 90.00 90.00 90.00
Space group Fm-3m (No. 225)
Asymmetric unit:
Ca: 0.0000 0.0000 0.0000 (multiplicity 4)
Gd: 0.0000 0.0000 0.5000 (multiplicity 4)
Sc: 0.2500 0.2500 0.2500 (multiplicity 8)

Output
- Crystal system: cubic
- N(E_F): 29.8 states/eV per cell

=====

Which is most stable? The ranking, best first, is arrangement A, arrangement B, arrangement C, arrangement D.

=====

Arrangement A

Material: CaGdSc
Method: DFT, PBE-GGA
State: optimized geometry

Lattice parameters (Å, degrees): 3.6366 3.6366 14.6371 90.00 90.00 90.00
Space group I4mm (No. 107)
Asymmetric unit:
Ca: 0.0000 0.0000 0.0000 (multiplicity 2)
Gd: 0.0000 0.0000 0.3085 (multiplicity 2)
Sc: 0.0000 0.0000 0.6683 (multiplicity 2)

Output
- Crystal system: tetragonal
- N(E_F): 8.5 states/eV per cell

=====

Arrangement B

Material: CaGdSc
Method: DFT, PBE-GGA
State: optimized geometry

Lattice parameters (Å, degrees): 3.5429 3.5429 8.8037 90.00 90.00 120.00
Space group P3m1 (No. 156)
Asymmetric unit:
Ca: 0.0000 0.0000 0.0000 (multiplicity 1)
Gd: 0.3333 0.6667 0.6326 (multiplicity 1)
Sc: 0.6667 0.3333 0.3351 (multiplicity 1)

Output
- Crystal system: trigonal
- N(E_F): 5.3 states/eV per cell

=====

Which is most stable? The ranking, best first, is arrangement A, arrangement B.

=====

Arrangement A

Material: CaGd2Si
Method: DFT, PBE-GGA
State: optimized geometry

Lattice parameters (Å, degrees): 4.0700 4.0700 28.8577 90.00 90.00 120.00
Space group R-3m (No. 166, hexagonal axes)
Asymmetric unit:
Ca: 0.0000 0.0000 0.0000 (multiplicity 3)
Gd: 0.0000 0.0000 0.2221 (multiplicity 6)
Si: 0.0000 0.0000 0.5000 (multiplicity 3)

Output
- Crystal system: trigonal
- N(E_F): 9.5 states/eV per cell

=====

Arrangement B

Material: CaGd2Si
Method: DFT, PBE-GGA
State: optimized geometry

Lattice parameters (Å, degrees): 3.5047 3.5047 9.7132 90.00 90.00 90.00
Space group P4/mmm (No. 123)
Asymmetric unit:
Ca: 0.0000 0.0000 0.0000 (multiplicity 1)
Gd: 0.5000 0.5000 0.3200 (multiplicity 2)
Si: 0.0000 0.0000 0.5000 (multiplicity 1)

Output
- Crystal system: tetragonal
- N(E_F): 3.8 states/eV per cell

=====

Which is most stable? The ranking, best first, is arrangement B, arrangement A.